Entry 1:
The following is a GGA-PBE calculation of a relaxed structure of CoReMo, from the Alexandria database.

Calculated values
For the energy relative to the elements, the calculation gives -4 kJ/mol of formula units. As for the crystal system: orthorhombic.

Unit cell a=4.757 b=4.745 c=8.775 alpha=82.19 beta=74.27 gamma=59.91
Positions (direct):
Mo 0.174 0.500 0.652
Mo 0.326 0.500 0.348
Mo 0.576 0.000 0.848
Mo 0.424 0.000 0.152
Co 0.626 0.500 0.749
Co 0.874 0.500 0.251
Co 0.124 0.000 0.751
Co 0.876 0.000 0.249
Re 0.920 0.160 0.500
Re 0.580 0.840 0.500
Re 0.830 0.340 0.000
Re 0.170 0.660 0.000

=====

Entry 2:
The following is a GGA-PBE calculation of a relaxed structure of CsDyPbBr6, from the Alexandria database.

Calculated values
As for the crystal system: trigonal. Its uncorrected formation energy is -1.58 eV/atom.

Unit cell a=7.702 b=7.702 c=7.923 alpha=90.00 beta=90.00 gamma=60.00
Positions (direct):
Cs 0.000 0.000 0.000
Dy 0.333 0.333 0.500
Pb 0.667 0.667 0.500
Br 0.023 0.363 0.291
Br 0.363 0.023 0.709
Br 0.614 0.363 0.709
Br 0.023 0.614 0.709
Br 0.363 0.614 0.291
Br 0.614 0.023 0.291

=====

Entry 3:
The following is a GGA-PBE calculation of a relaxed structure of TbCd3In, from the Alexandria database.

Calculated values
For the energy relative to the elements, the calculation gives -79 kJ/mol of formula units. As for the crystal system: monoclinic.

Unit cell a=3.390 b=5.613 c=14.845 alpha=90.00 beta=116.93 gamma=90.00
Positions (direct):
Tb 0.877 0.250 0.189
Tb 0.123 0.750 0.811
Cd 0.789 0.250 0.396
Cd 0.676 0.250 0.587
Cd 0.324 0.750 0.413
Cd 0.211 0.750 0.604
Cd 0.000 0.000 0.000
Cd 0.000 0.500 0.000
In 0.568 0.250 0.784
In 0.432 0.750 0.216

=====

Entry 4:
The following is a GGA-PBE calculation of a relaxed structure of LaZn3As, from the Alexandria database.

Calculated values
For the energy relative to the elements, the calculation gives 535 kJ/mol of formula units. As for the crystal system: cubic.

Unit cell a=5.594 b=5.594 c=5.594 alpha=90.00 beta=90.00 gamma=90.00
Positions (direct):
As 0.500 0.500 0.500
Zn 0.000 0.500 0.000
Zn 0.000 0.000 0.500
Zn 0.500 0.000 0.000
La 0.000 0.000 0.000

=====

Entry 5:
The following is a GGA-PBE calculation of a relaxed structure of Be2CrHg, from the Alexandria database.

Calculated values
For the energy relative to the elements, the calculation gives 191 kJ/mol of formula units. As for the crystal system: monoclinic.

Unit cell a=4.665 b=4.665 c=4.354 alpha=72.73 beta=72.73 gamma=33.39
Positions (direct):
Cr 0.484 0.484 0.574
Hg 0.266 0.266 0.193
Be 0.022 0.022 0.023
Be 0.729 0.729 0.710

=====

Entry 6:
The following is a GGA-PBE calculation of a relaxed structure of Ca2TaSb, from the Alexandria database.

Calculated values
As for the crystal system: tetragonal. Its uncorrected formation energy is 0.25 eV/atom.

Unit cell a=5.986 b=5.986 c=5.986 alpha=136.99 beta=136.95 gamma=62.48
Positions (direct):
Sb 0.750 0.250 0.500
Ca 0.000 0.000 0.000
Ca 0.500 0.500 0.000
Ta 0.250 0.750 0.500

=====

Number 1: theoretical density 13.7 g/cm3, final energy -10.1413 eV/atom. Number 2: theoretical density 4.0 g/cm3, final energy -3.7132 eV/atom. Number 3: theoretical density 8.1 g/cm3, final energy -2.1856 eV/atom. Number 4: theoretical density 3.9 g/cm3, final energy -1.5718 eV/atom. Number 5: theoretical density 9.1 g/cm3, final energy -3.8492 eV/atom. Number 6: theoretical density 6.4 g/cm3, final energy -4.7416 eV/atom.